# Tb6CeTm5

A geometry-optimized Tb6CeTm5 structure (PBE-GGA, Alexandria).

```
12
Lattice="-2.4968 4.9865 7.4841 2.4968 -4.9865 7.4841 2.4968 4.9865 -7.4841" Properties=species:S:1:pos:R:3 pbc="T T T"
Tb 2.4968 2.4927 -2.4741
Tb 0.0000 2.4818 0.0000
Tb 2.4968 2.4927 2.4741
Tb 0.0000 2.4939 5.0100
Tb 0.0000 7.4913 0.0000
Tb 0.0000 2.4939 9.9583
Ce 2.4968 0.0000 0.0000
Tm 0.0000 0.0000 2.4947
Tm 2.4968 0.0000 4.9781
Tm 0.0000 0.0000 7.4841
Tm 0.0000 4.9865 2.5060
Tm 0.0000 0.0000 12.4736
```

Space group: No. 71
Calculated volume (Å³/cell): 372.7
E_form (eV per atom): 0.038
Spin magnetization (μB/f.u.): 1.1



# LiCd4Ge

A geometry-optimized LiCd4Ge structure (PBE-GGA, Alexandria).

```
6
Lattice="0.0000 4.0828 4.0828 4.0828 0.0000 4.0828 4.0828 4.0828 0.0000" Properties=species:S:1:pos:R:3 pbc="T T T"
Li 0.0000 0.0000 0.0000
Cd 5.1051 3.0605 3.0605
Cd 3.0605 5.1051 3.0605
Cd 3.0605 3.0605 5.1051
Cd 5.1051 5.1051 5.1051
Ge 2.0414 2.0414 2.0414
```

Space group: No. 216
Calculated volume (Å³/cell): 136.1
E_form (eV per atom): 0.071
Spin magnetization (μB/f.u.): 0.0



# NdY3Rh4

A geometry-optimized NdY3Rh4 structure (PBE-GGA, Alexandria).

```
8
Lattice="3.5474 0.0000 0.0000 0.0000 4.8412 0.0000 0.0000 0.0000 9.6875" Properties=species:S:1:pos:R:3 pbc="T T T"
Nd 0.0000 0.0000 0.0000
Y 0.0000 0.0000 4.8437
Y 0.0000 2.4206 2.4621
Y 0.0000 2.4206 7.2254
Rh 1.7737 0.0000 2.4711
Rh 1.7737 0.0000 7.2164
Rh 1.7737 2.4206 0.0000
Rh 1.7737 2.4206 4.8437
```

Space group: No. 47
Calculated volume (Å³/cell): 166.4
E_form (eV per atom): -0.784
Spin magnetization (μB/f.u.): 0.0



# Pr3Dy6Er2Tl

A geometry-optimized Pr3Dy6Er2Tl structure (PBE-GGA, Alexandria).

```
12
Lattice="3.0878 -5.3524 0.0000 3.0878 5.3524 0.0000 -2.0725 0.0000 11.4893" Properties=species:S:1:pos:R:3 pbc="T T T"
Pr 0.0000 0.0000 0.0000
Pr 3.0878 1.7891 0.0000
Pr 3.0878 -1.7891 0.0000
Dy 1.0421 1.7566 2.9667
Dy 0.0180 0.0000 8.5368
Dy 1.0421 -1.7566 2.9667
Dy 3.0611 1.7566 8.5226
Dy 4.0852 0.0000 2.9525
Dy 3.0611 -1.7566 8.5226
Er 2.0516 3.5762 5.7447
Er 2.0516 -3.5762 5.7447
Tl 2.0516 0.0000 5.7447
```

Space group: No. 12
Calculated volume (Å³/cell): 379.8
E_form (eV per atom): -0.006
Spin magnetization (μB/f.u.): 0.5



# ScPt4Rh

A geometry-optimized ScPt4Rh structure (PBE-GGA, Alexandria).

```
6
Lattice="0.0000 3.7077 3.7077 3.7077 0.0000 3.7077 3.7077 3.7077 0.0000" Properties=species:S:1:pos:R:3 pbc="T T T"
Sc 0.0000 0.0000 0.0000
Pt 2.7840 2.7840 2.7840
Pt 4.6315 4.6315 2.7840
Pt 4.6315 2.7840 4.6315
Pt 2.7840 4.6315 4.6315
Rh 5.5616 5.5616 5.5616
```

Space group: No. 216
Calculated volume (Å³/cell): 101.9
E_form (eV per atom): -0.436
Spin magnetization (μB/f.u.): 0.6



# Ac8Ni3HI4

A geometry-optimized Ac8Ni3HI4 structure (PBE-GGA, Alexandria).

```
16
Lattice="7.4560 -4.3273 0.0000 7.4560 4.3273 0.0000 -4.9686 0.0000 8.5611" Properties=species:S:1:pos:R:3 pbc="T T T"
Ac 3.7160 2.1757 5.8735
Ac -0.0053 0.0000 5.8319
Ac 2.4827 0.0000 2.6908
Ac 6.2273 2.1757 2.6876
Ac 3.7160 -2.1757 5.8735
Ac 7.4606 0.0000 5.8703
Ac 9.9486 0.0000 2.7292
Ac 6.2273 -2.1757 2.6876
Ni -2.4843 0.0000 4.2806
Ni 1.2437 2.1637 4.2806
Ni 1.2437 -2.1637 4.2806
H 4.9717 0.0000 4.2806
I 0.0000 0.0000 0.0000
I 3.7280 2.1637 0.0000
I 3.7280 -2.1637 0.0000
I 7.4560 0.0000 0.0000
```

Space group: No. 12
Calculated volume (Å³/cell): 552.4
DFT total energy (eV for the cell shown): -70.39
Spin magnetization (μB/f.u.): 0.0



# PmNbPb

A geometry-optimized PmNbPb structure (PBE-GGA, Alexandria).

```
6
Lattice="1.7896 -12.2295 0.0000 1.7896 12.2295 0.0000 0.0000 0.0000 3.5986" Properties=species:S:1:pos:R:3 pbc="T T T"
Pm 1.7896 10.6411 2.6989
Pm 1.7896 -10.6411 0.8996
Nb 1.7896 6.7698 2.6989
Nb 1.7896 -6.7698 0.8996
Pb 1.7896 3.7281 2.6989
Pb 1.7896 -3.7281 0.8996
```

Space group: No. 63
Calculated volume (Å³/cell): 157.5
E_form (eV per atom): -0.030
Spin magnetization (μB/f.u.): 0.0



# BeNb2Rh

A geometry-optimized BeNb2Rh structure (PBE-GGA, Alexandria).

```
8
Lattice="-1.8835 1.8835 9.1849 1.8835 -1.8835 9.1849 1.8835 1.8835 -9.1849" Properties=species:S:1:pos:R:3 pbc="T T T"
Be 0.0000 0.0000 0.0000
Be 0.0000 1.8835 4.5924
Nb 2.8252 0.8993 -2.2962
Nb 0.8993 0.9417 2.2962
Nb -0.9417 0.9842 6.8887
Nb 0.9842 0.9417 11.4811
Rh 1.8835 0.0000 4.5924
Rh 0.0000 0.0000 9.1849
```

Space group: No. 122
Calculated volume (Å³/cell): 130.3
E_form (eV per atom): 0.392
Spin magnetization (μB/f.u.): 0.0